A plane-wave DFT calculation with PBE was carried out for a relaxed structure of TaNb2Hg.

Output
density	12.64	g/cm3
ΔE_f	172	meV/atom
SG	No. 123

Cell lengths 3.6852, 4.4967, 4.4967 Å; angles 90.00, 90.00, 90.00 degrees
Closest atoms and distances in Å follow each position.
Fractional coordinates of all 4 atoms:
Nb1 0.0000 0.0000 0.5000  4 Hg 2.91, 4 Ta 2.91, 4 Nb 3.18
Nb2 0.0000 0.5000 0.0000  4 Ta 2.91, 4 Hg 2.91, 4 Nb 3.18
Hg1 0.5000 0.0000 0.0000  8 Nb 2.91, 4 Ta 3.18
Ta1 0.5000 0.5000 0.5000  8 Nb 2.91, 4 Hg 3.18